Record 1
DFT (PBE-GGA) results for crystalline Sc2SbMo at its relaxed geometry.

Properties
- offset from the most stable computed form (meV per atom) = 183
- formation energy from raw total energies (meV/atom) = -139

CIF file:
```
data_Sc2SbMo
_space_group_name_H-M_alt 'P 1'
_space_group_IT_number 1
_cell_length_a 4.7813
_cell_length_b 4.7813
_cell_length_c 4.7813
_cell_angle_alpha 60.00
_cell_angle_beta 60.00
_cell_angle_gamma 60.00
loop_
_space_group_symop_operation_xyz
'x,y,z'
loop_
_atom_site_label
_atom_site_type_symbol
_atom_site_fract_x
_atom_site_fract_y
_atom_site_fract_z
Sc1 Sc 0.0000 0.0000 0.0000
Sc2 Sc 0.2500 0.2500 0.2500
Sb1 Sb 0.5000 0.5000 0.5000
Mo1 Mo 0.7500 0.7500 0.7500
```

***

Record 2
DFT (PBE-GGA) results for crystalline ScSbMo2 at its relaxed geometry.

Properties
- offset from the most stable computed form (meV per atom) = 0
- formation energy from raw total energies (meV/atom) = -65

CIF file:
```
data_ScSbMo2
_space_group_name_H-M_alt 'P 1'
_space_group_IT_number 1
_cell_length_a 5.3692
_cell_length_b 5.3692
_cell_length_c 5.3692
_cell_angle_alpha 141.60
_cell_angle_beta 129.80
_cell_angle_gamma 64.92
loop_
_space_group_symop_operation_xyz
'x,y,z'
loop_
_atom_site_label
_atom_site_type_symbol
_atom_site_fract_x
_atom_site_fract_y
_atom_site_fract_z
Sc1 Sc 0.0000 0.0000 0.0000
Sb1 Sb 0.7291 0.2291 0.5000
Mo1 Mo 0.2569 0.7569 0.5000
Mo2 Mo 0.4745 0.4745 0.0000
```

***

Record 3
DFT (PBE-GGA) results for crystalline Sc3SbMo at its relaxed geometry.

Properties
- offset from the most stable computed form (meV per atom) = 701
- formation energy from raw total energies (meV/atom) = 934

CIF file:
```
data_Sc3SbMo
_space_group_name_H-M_alt 'P 1'
_space_group_IT_number 1
_cell_length_a 5.2027
_cell_length_b 5.2027
_cell_length_c 5.2027
_cell_angle_alpha 90.00
_cell_angle_beta 90.00
_cell_angle_gamma 90.00
loop_
_space_group_symop_operation_xyz
'x,y,z'
loop_
_atom_site_label
_atom_site_type_symbol
_atom_site_fract_x
_atom_site_fract_y
_atom_site_fract_z
Sc1 Sc 0.0000 0.0000 0.5000
Sc2 Sc 0.0000 0.5000 0.0000
Sc3 Sc 0.5000 0.0000 0.0000
Sb1 Sb 0.0000 0.0000 0.0000
Mo1 Mo 0.5000 0.5000 0.5000
```

***

Record 4
DFT (PBE-GGA) results for crystalline Sc2SbMo at its relaxed geometry.

Properties
- offset from the most stable computed form (meV per atom) = 172
- formation energy from raw total energies (meV/atom) = -151

CIF file:
```
data_Sc2SbMo
_space_group_name_H-M_alt 'P 1'
_space_group_IT_number 1
_cell_length_a 3.5855
_cell_length_b 3.5855
_cell_length_c 6.4181
_cell_angle_alpha 90.00
_cell_angle_beta 90.00
_cell_angle_gamma 90.00
loop_
_space_group_symop_operation_xyz
'x,y,z'
loop_
_atom_site_label
_atom_site_type_symbol
_atom_site_fract_x
_atom_site_fract_y
_atom_site_fract_z
Sc1 Sc 0.0000 0.0000 0.0000
Sc2 Sc 0.5000 0.5000 0.2940
Sb1 Sb 0.5000 0.5000 0.7533
Mo1 Mo 0.0000 0.0000 0.5522
```

***

Record 5
DFT (PBE-GGA) results for crystalline Sc2SbMo at its relaxed geometry.

Properties
- offset from the most stable computed form (meV per atom) = 104
- formation energy from raw total energies (meV/atom) = -218

CIF file:
```
data_Sc2SbMo
_space_group_name_H-M_alt 'P 1'
_space_group_IT_number 1
_cell_length_a 5.2959
_cell_length_b 5.2959
_cell_length_c 5.2959
_cell_angle_alpha 136.23
_cell_angle_beta 128.12
_cell_angle_gamma 70.16
loop_
_space_group_symop_operation_xyz
'x,y,z'
loop_
_atom_site_label
_atom_site_type_symbol
_atom_site_fract_x
_atom_site_fract_y
_atom_site_fract_z
Sc1 Sc 0.2356 0.2356 0.0000
Sc2 Sc 0.7644 0.7644 0.0000
Sb1 Sb 0.5000 0.0000 0.5000
Mo1 Mo 0.0000 0.5000 0.5000
```

***

Record 6
DFT (PBE-GGA) results for crystalline ScSbMo2 at its relaxed geometry.

Properties
- offset from the most stable computed form (meV per atom) = 418
- formation energy from raw total energies (meV/atom) = 353

CIF file:
```
data_ScSbMo2
_space_group_name_H-M_alt 'P 1'
_space_group_IT_number 1
_cell_length_a 3.0103
_cell_length_b 3.0103
_cell_length_c 8.8277
_cell_angle_alpha 90.00
_cell_angle_beta 90.00
_cell_angle_gamma 109.67
loop_
_space_group_symop_operation_xyz
'x,y,z'
loop_
_atom_site_label
_atom_site_type_symbol
_atom_site_fract_x
_atom_site_fract_y
_atom_site_fract_z
Sc1 Sc 0.0000 0.0000 0.0000
Sb1 Sb 0.0000 0.0000 0.5000
Mo1 Mo 0.5000 0.5000 0.2585
Mo2 Mo 0.5000 0.5000 0.7415
```

***

Q: Number 4 is which compound?
A: Sc2SbMo